Entry 1:
A relaxed structure of HoTmSb2. Source: the Alexandria database, functional PBE.

Results
- formation energy from raw total energies (meV per atom) = -1036
- density of states at the Fermi level (states/eV/f.u.) = 0.73
- E above lowest polymorph (meV/atom) = 55

a b c (Å): 4.3325 4.3325 7.3886
angles (deg): 90.00 90.00 120.00
Space group P-3m1 (No. 164)
Inequivalent atoms, fractional coordinates:
Ho: 0.0000 0.0000 0.0000
Tm: 0.0000 0.0000 0.5000
Sb: 0.3333 0.6667 0.7476

***

Entry 2:
A relaxed structure of HoTm2Sb. Source: the Alexandria database, functional PBE.

Results
- formation energy from raw total energies (meV per atom) = -215
- density of states at the Fermi level (states/eV/f.u.) = 4.56
- E above lowest polymorph (meV/atom) = 320

a b c (Å): 7.534 7.534 7.534
angles (deg): 90.00 90.00 90.00
Space group Fm-3m (No. 225)
Inequivalent atoms, fractional coordinates:
Ho: 0.000 0.000 0.000
Tm: 0.250 0.250 0.250
Sb: 0.000 0.000 0.500

***

Entry 3:
A relaxed structure of Ho2TmSb. Source: the Alexandria database, functional PBE.

Results
- formation energy from raw total energies (meV per atom) = -263
- density of states at the Fermi level (states/eV/f.u.) = 5.02
- E above lowest polymorph (meV/atom) = 263

a b c (Å): 3.9331 3.9331 28.7988
angles (deg): 90.00 90.00 120.00
Space group R-3m (No. 166, hexagonal axes)
Inequivalent atoms, fractional coordinates:
Ho: 0.0000 0.0000 0.2346
Tm: 0.0000 0.0000 0.0000
Sb: 0.0000 0.0000 0.5000

***

Entry 4:
A relaxed structure of Ho2TmSb. Source: the Alexandria database, functional PBE.

Results
- formation energy from raw total energies (meV per atom) = -477
- density of states at the Fermi level (states/eV/f.u.) = 3.93
- E above lowest polymorph (meV/atom) = 50

a b c (Å): 4.114 4.114 6.623
angles (deg): 90.00 90.00 90.00
Space group P4/mmm (No. 123)
Inequivalent atoms, fractional coordinates:
Ho: 0.000 0.000 0.237
Tm: 0.500 0.500 0.500
Sb: 0.500 0.500 0.000

***

Entry 5:
A relaxed structure of Ho3TmSb2. Source: the Alexandria database, functional PBE.

Results
- formation energy from raw total energies (meV per atom) = -781
- density of states at the Fermi level (states/eV/f.u.) = 4.51
- E above lowest polymorph (meV/atom) = 0

a b c (Å): 4.446 4.446 8.398
angles (deg): 90.00 90.00 90.00
Space group P-4m2 (No. 115)
Inequivalent atoms, fractional coordinates:
Ho: 0.000 0.000 0.000
Ho: 0.000 0.500 0.651
Tm: 0.500 0.500 0.000
Sb: 0.000 0.500 0.281

***

Entry 6:
A relaxed structure of HoTm8Sb6. Source: the Alexandria database, functional PBE.

Results
- formation energy from raw total energies (meV per atom) = -705
- density of states at the Fermi level (states/eV/f.u.) = 8.66

a b c (Å): 7.4018 7.4018 28.9449
angles (deg): 90.00 90.00 120.00
Space group R-3 (No. 148, hexagonal axes)
Inequivalent atoms, fractional coordinates:
Ho: 0.0000 0.0000 0.0000
Tm: 0.0000 0.0000 0.3334
Tm: 0.0006 0.3320 0.1202
Sb: 0.0003 0.3352 0.9382

***

Entry 7:
A relaxed structure of HoTm2Sb. Source: the Alexandria database, functional PBE.

Results
- formation energy from raw total energies (meV per atom) = -289
- density of states at the Fermi level (states/eV/f.u.) = 4.64
- E above lowest polymorph (meV/atom) = 246

a b c (Å): 3.9562 3.9562 27.9930
angles (deg): 90.00 90.00 120.00
Space group R3m (No. 160, hexagonal axes)
Inequivalent atoms, fractional coordinates:
Ho: 0.0000 0.0000 0.0000
Tm: 0.0000 0.0000 0.5678
Tm: 0.0000 0.0000 0.7643
Sb: 0.0000 0.0000 0.1655

***

Entry 8:
A relaxed structure of HoTm2Sb. Source: the Alexandria database, functional PBE.

Results
- formation energy from raw total energies (meV per atom) = -534
- density of states at the Fermi level (states/eV/f.u.) = 5.41
- E above lowest polymorph (meV/atom) = 0

a b c (Å): 4.085 12.110 9.370
angles (deg): 90.00 90.00 90.00
Space group Cmcm (No. 63)
Inequivalent atoms, fractional coordinates:
Ho: 0.000 0.057 0.250
Tm: 0.000 0.365 0.047
Sb: 0.000 0.242 0.750

***

Repeat the seventh record exactly.
A relaxed structure of HoTm2Sb. Source: the Alexandria database, functional PBE.

Results
- formation energy from raw total energies (meV per atom) = -289
- density of states at the Fermi level (states/eV/f.u.) = 4.64
- E above lowest polymorph (meV/atom) = 246

a b c (Å): 3.9562 3.9562 27.9930
angles (deg): 90.00 90.00 120.00
Space group R3m (No. 160, hexagonal axes)
Inequivalent atoms, fractional coordinates:
Ho: 0.0000 0.0000 0.0000
Tm: 0.0000 0.0000 0.5678
Tm: 0.0000 0.0000 0.7643
Sb: 0.0000 0.0000 0.1655

***

- What is the formation energy from raw total energies in the second record?
  -215 meV per atom

***

- What is the density of states at the Fermi level in the third record?
  5.02 states/eV/f.u.

***

- formation energy from raw total energies of number 6 (HoTm8Sb6)?
  -705 meV per atom